# 1
Material: Tb2Ho4Tl
Method: DFT, PBE
State: relaxed

Lattice parameters (Å, degrees): 5.7836 6.6619 11.4081 90.00 103.44 90.00
With the nearest neighbours (Å) after each atom.
Positions (direct):
Tb1 0.0532 0.2500 0.4778  2 Tl 3.19-3.30, 4 Ho 3.35-3.47, 2 Tb 3.45
Tb2 0.3298 0.7500 0.0676  9 Ho 3.22-3.55
Tb3 0.6702 0.2500 0.9324  9 Ho 3.22-3.55
Tb4 0.9468 0.7500 0.5222  2 Tl 3.19-3.30, 4 Ho 3.35-3.47, 2 Tb 3.45
Ho1 0.1646 0.0096 0.7890  4 Ho 3.20-3.55, 1 Tl 3.32, 3 Tb 3.40-3.55
Ho2 0.1646 0.4904 0.7890  4 Ho 3.20-3.55, 1 Tl 3.32, 3 Tb 3.40-3.55
Ho3 0.2226 0.2500 0.0723  1 Tl 3.13, 4 Tb 3.22-3.39, 2 Ho 3.49
Ho4 0.3789 0.7500 0.3661  3 Tl 3.20-3.40, 3 Tb 3.35-3.39
Ho5 0.6211 0.2500 0.6339  3 Tl 3.20-3.40, 3 Tb 3.35-3.39
Ho6 0.7774 0.7500 0.9277  1 Tl 3.13, 4 Tb 3.22-3.39, 2 Ho 3.49
Ho7 0.8354 0.5096 0.2110  4 Ho 3.20-3.55, 1 Tl 3.32, 3 Tb 3.40-3.55
Ho8 0.8354 0.9904 0.2110  4 Ho 3.20-3.55, 1 Tl 3.32, 3 Tb 3.40-3.55
Tl1 0.4815 0.2500 0.3457  6 Ho 3.13-3.40, 2 Tb 3.19-3.30
Tl2 0.5185 0.7500 0.6543  6 Ho 3.13-3.40, 2 Tb 3.19-3.30

Values from the calculation:
Spin magnetization: 0.000 μB per atom
Calculated volume: 427.5 Å³/cell
DFT formation energy: 0.02 eV/f.u.
Uncorrected energy: -59.835 eV/cell

---

# 2
Material: Sm2Al4CuPd3
Method: DFT, PBE
State: relaxed

Lattice parameters (Å, degrees): 4.3792 4.3792 9.8961 90.00 90.00 90.00
With the nearest neighbours (Å) after each atom.
Positions (direct):
Sm1 0.0000 0.5000 0.2447  2 Cu 3.27, 6 Pd 3.27-3.33, 9 Al 3.33-3.62
Sm2 0.5000 0.0000 0.7553  2 Cu 3.27, 6 Pd 3.27-3.33, 9 Al 3.33-3.62
Al1 0.0000 0.0000 0.5000  4 Pd 2.54
Al2 0.0000 0.5000 0.8792  3 Pd 2.46-2.49, 2 Cu 2.49
Al3 0.5000 0.0000 0.1208  3 Pd 2.46-2.49, 2 Cu 2.49
Al4 0.5000 0.5000 0.5000  4 Pd 2.54
Cu1 0.5000 0.5000 0.0000  4 Al 2.49
Pd1 0.0000 0.0000 0.0000  4 Al 2.49
Pd2 0.0000 0.5000 0.6307  5 Al 2.46-2.54
Pd3 0.5000 0.0000 0.3693  5 Al 2.46-2.54

Values from the calculation:
Spin magnetization: 0.000 μB per atom
Calculated volume: 189.8 Å³/cell
DFT formation energy: -7.46 eV/f.u.
Uncorrected energy: -51.542 eV/cell

---

# 3
Material: Tb4Y6Pu
Method: DFT, PBE
State: relaxed

Lattice parameters (Å, degrees): 8.7302 8.7302 9.1623 90.00 90.00 90.00
With the nearest neighbours (Å) after each atom.
Positions (direct):
Tb1 0.1447 0.3553 0.2500  8 Y 3.38-3.47, 1 Tb 3.57
Tb2 0.1447 0.3553 0.7500  8 Y 3.38-3.47, 1 Tb 3.57
Tb3 0.3553 0.8553 0.2500  8 Y 3.38-3.47, 1 Tb 3.57
Tb4 0.3553 0.8553 0.7500  8 Y 3.38-3.47, 1 Tb 3.57
Tb5 0.6447 0.1447 0.2500  8 Y 3.38-3.47, 1 Tb 3.57
Tb6 0.6447 0.1447 0.7500  8 Y 3.38-3.47, 1 Tb 3.57
Tb7 0.8553 0.6447 0.2500  8 Y 3.38-3.47, 1 Tb 3.57
Tb8 0.8553 0.6447 0.7500  8 Y 3.38-3.47, 1 Tb 3.57
Y1 0.0000 0.0000 0.1718  1 Pu 3.01, 1 Y 3.15
Y2 0.0000 0.0000 0.8282  1 Pu 3.01, 1 Y 3.15
Y3 0.1534 0.6542 0.0000  1 Pu 3.31, 6 Tb 3.38-3.47, 2 Y 3.66
Y4 0.1542 0.6534 0.5000  1 Pu 3.31, 6 Tb 3.38-3.47, 2 Y 3.66
Y5 0.3458 0.1534 0.0000  1 Pu 3.31, 6 Tb 3.38-3.47, 2 Y 3.66
Y6 0.3466 0.1542 0.5000  1 Pu 3.31, 6 Tb 3.38-3.47, 2 Y 3.66
Y7 0.5000 0.5000 0.3282  1 Pu 3.01, 1 Y 3.15
Y8 0.5000 0.5000 0.6718  1 Pu 3.01, 1 Y 3.15
Y9 0.6534 0.8458 0.5000  1 Pu 3.31, 6 Tb 3.38-3.47, 2 Y 3.66
Y10 0.6542 0.8466 0.0000  1 Pu 3.31, 6 Tb 3.38-3.47, 2 Y 3.66
Y11 0.8458 0.3466 0.5000  1 Pu 3.31, 6 Tb 3.38-3.47, 2 Y 3.66
Y12 0.8466 0.3458 0.0000  1 Pu 3.31, 6 Tb 3.38-3.47, 2 Y 3.66
Pu1 0.0000 0.0000 0.5000  6 Y 3.01-3.31
Pu2 0.5000 0.5000 0.0000  6 Y 3.01-3.31

Values from the calculation:
Spin magnetization: 0.654 μB per atom
Calculated volume: 698.3 Å³/cell
DFT formation energy: 1.99 eV/f.u.
Uncorrected energy: -139.290 eV/cell

---

# 4
Material: SrSbTe2Os
Method: DFT, PBE
State: relaxed

Lattice parameters (Å, degrees): 5.9756 5.9756 6.1397 90.00 90.00 90.00
With the nearest neighbours (Å) after each atom.
Positions (direct):
Sr1 0.0000 0.0000 0.0000  4 Te 2.99, 2 Sb 3.07
Sb1 0.0000 0.0000 0.5000  2 Sr 3.07
Te1 0.0000 0.5000 0.0000  2 Sr 2.99
Te2 0.5000 0.0000 0.0000  2 Sr 2.99
Os1 0.5000 0.5000 0.5000  4 Sb 4.23, 8 Te 4.28

Values from the calculation:
Spin magnetization: 0.739 μB per atom
Calculated volume: 219.2 Å³/cell
E_form (uncorrected): 819 kJ/mol of formula units
Uncorrected energy: -14.827 eV/cell
Relative energy among the computed polymorphs: 1.709 eV/atom

---

# 5
Material: LiCe2In
Method: DFT, PBE
State: relaxed

Lattice parameters (Å, degrees): 3.0911 5.4999 5.8771 90.00 104.85 90.00
With the nearest neighbours (Å) after each atom.
Positions (direct):
Li1 0.0000 0.0000 0.0000  2 In 2.94, 2 Li 3.09, 4 Ce 3.21
Ce1 0.3882 0.5000 0.2524  3 Ce 2.81-3.09
Ce2 0.6118 0.5000 0.7476  3 Ce 2.81-3.09
In1 0.0000 0.0000 0.5000  2 Li 2.94, 2 In 3.09

Values from the calculation:
Spin magnetization: 0.078 μB per atom
Calculated volume: 96.6 Å³/cell
DFT formation energy: -0.29 eV/f.u.
Uncorrected energy: -16.806 eV/cell

---

# 6
Material: CsPd2Br
Method: DFT, PBE
State: relaxed

Lattice parameters (Å, degrees): 5.6179 5.6179 16.5365 90.00 90.00 90.00
With the nearest neighbours (Å) after each atom.
Positions (direct):
Cs1 0.0000 0.2500 0.3750  8 Pd 3.76, 4 Br 3.97
Cs2 0.0000 0.7500 0.6250  8 Pd 3.76, 4 Br 3.97
Cs3 0.5000 0.2500 0.1250  8 Pd 3.76, 4 Br 3.97
Cs4 0.5000 0.7500 0.8750  8 Pd 3.76, 4 Br 3.97
Pd1 0.0000 0.0000 0.0000  2 Br 2.50
Pd2 0.0000 0.5000 0.0000  2 Br 2.50
Pd3 0.2500 0.2500 0.7500  2 Br 2.50
Pd4 0.2500 0.7500 0.2500  2 Br 2.50
Pd5 0.5000 0.0000 0.5000  2 Br 2.50
Pd6 0.5000 0.5000 0.5000  2 Br 2.50
Pd7 0.7500 0.2500 0.7500  2 Br 2.50
Pd8 0.7500 0.7500 0.2500  2 Br 2.50
Br1 0.0000 0.2500 0.8750  4 Pd 2.50
Br2 0.0000 0.7500 0.1250  4 Pd 2.50
Br3 0.5000 0.2500 0.6250  4 Pd 2.50
Br4 0.5000 0.7500 0.3750  4 Pd 2.50

Values from the calculation:
Spin magnetization: 0.000 μB per atom
Calculated volume: 521.9 Å³/cell
E_form (uncorrected): -80 kJ/mol of formula units
Uncorrected energy: -54.960 eV/cell
Relative energy among the computed polymorphs: 0.000 eV/atom

---

Question: Among the records above, which one has the lowest calculated volume?
Answer: LiCe2In

---

Question: spin magnetization of number 1 (Tb2Ho4Tl)?
Answer: 0.000 μB per atom

---

Question: Number 4 is which compound?
Answer: SrSbTe2Os

---

What did the third record say?
Material: Tb4Y6Pu
Method: DFT, PBE
State: relaxed

Lattice parameters (Å, degrees): 8.7302 8.7302 9.1623 90.00 90.00 90.00
With the nearest neighbours (Å) after each atom.
Positions (direct):
Tb1 0.1447 0.3553 0.2500  8 Y 3.38-3.47, 1 Tb 3.57
Tb2 0.1447 0.3553 0.7500  8 Y 3.38-3.47, 1 Tb 3.57
Tb3 0.3553 0.8553 0.2500  8 Y 3.38-3.47, 1 Tb 3.57
Tb4 0.3553 0.8553 0.7500  8 Y 3.38-3.47, 1 Tb 3.57
Tb5 0.6447 0.1447 0.2500  8 Y 3.38-3.47, 1 Tb 3.57
Tb6 0.6447 0.1447 0.7500  8 Y 3.38-3.47, 1 Tb 3.57
Tb7 0.8553 0.6447 0.2500  8 Y 3.38-3.47, 1 Tb 3.57
Tb8 0.8553 0.6447 0.7500  8 Y 3.38-3.47, 1 Tb 3.57
Y1 0.0000 0.0000 0.1718  1 Pu 3.01, 1 Y 3.15
Y2 0.0000 0.0000 0.8282  1 Pu 3.01, 1 Y 3.15
Y3 0.1534 0.6542 0.0000  1 Pu 3.31, 6 Tb 3.38-3.47, 2 Y 3.66
Y4 0.1542 0.6534 0.5000  1 Pu 3.31, 6 Tb 3.38-3.47, 2 Y 3.66
Y5 0.3458 0.1534 0.0000  1 Pu 3.31, 6 Tb 3.38-3.47, 2 Y 3.66
Y6 0.3466 0.1542 0.5000  1 Pu 3.31, 6 Tb 3.38-3.47, 2 Y 3.66
Y7 0.5000 0.5000 0.3282  1 Pu 3.01, 1 Y 3.15
Y8 0.5000 0.5000 0.6718  1 Pu 3.01, 1 Y 3.15
Y9 0.6534 0.8458 0.5000  1 Pu 3.31, 6 Tb 3.38-3.47, 2 Y 3.66
Y10 0.6542 0.8466 0.0000  1 Pu 3.31, 6 Tb 3.38-3.47, 2 Y 3.66
Y11 0.8458 0.3466 0.5000  1 Pu 3.31, 6 Tb 3.38-3.47, 2 Y 3.66
Y12 0.8466 0.3458 0.0000  1 Pu 3.31, 6 Tb 3.38-3.47, 2 Y 3.66
Pu1 0.0000 0.0000 0.5000  6 Y 3.01-3.31
Pu2 0.5000 0.5000 0.0000  6 Y 3.01-3.31

Values from the calculation:
Spin magnetization: 0.654 μB per atom
Calculated volume: 698.3 Å³/cell
DFT formation energy: 1.99 eV/f.u.
Uncorrected energy: -139.290 eV/cell